The following is a SCAN calculation of FeSiSe2 at its PBEsol-relaxed geometry, from Alexandria.

Computed properties:
Energy in eV for the cell shown: -136.53
Total magnetization in μB/atom: 0.000
ρ in g/cm³: 5.5
V in Å³ per atom: 18.29

a b c (Å): 7.353 3.413 5.966
angles (deg): 90.00 102.15 90.00
Space group Cm (No. 8)
Unique sites:
Fe 0.000 0.000 0.000 [2 per cell]
Si 0.213 0.500 0.042 [2 per cell]
Se 0.033 0.500 0.309 [2 per cell]
Se 0.326 0.000 0.758 [2 per cell]